[1]
KInGe2 | PBE-GGA | optimized geometry

Cell: 6.9521 6.9521 6.9521 Å, 38.96 38.96 38.96°
Sites, in units of the cell vectors:
K (0.0000, 0.0000, 0.0000)
In (0.5000, 0.5000, 0.5000)
Ge (0.2144, 0.2144, 0.2144)
Ge (0.7856, 0.7856, 0.7856)

Values from the calculation:
formation energy from the elements: 0.1087 eV/atom
crystal system: trigonal

***

[2]
KIn2Ge | PBE-GGA | optimized geometry

Cell: 7.8485 7.8485 7.8485 Å, 33.73 33.73 33.73°
Sites, in units of the cell vectors:
K (0.0000, 0.0000, 0.0000)
In (0.2179, 0.2179, 0.2179)
In (0.4428, 0.4428, 0.4428)
Ge (0.8265, 0.8265, 0.8265)

Values from the calculation:
formation energy from the elements: -0.0255 eV/atom
crystal system: trigonal

***

[3]
KIn4Ge2 | PBE-GGA | optimized geometry

Cell: 9.2737 9.2737 4.5013 Å, 90.00 90.00 90.00°
Sites, in units of the cell vectors:
K (0.0000, 0.0000, 0.0000)
K (0.5000, 0.5000, 0.5000)
In (0.0766, 0.3299, 0.5000)
In (0.1701, 0.5766, 0.0000)
In (0.3299, 0.0766, 0.5000)
In (0.4234, 0.8299, 0.0000)
In (0.5766, 0.1701, 0.0000)
In (0.6701, 0.9234, 0.5000)
In (0.8299, 0.4234, 0.0000)
In (0.9234, 0.6701, 0.5000)
Ge (0.2206, 0.7794, 0.5000)
Ge (0.2794, 0.2794, 0.0000)
Ge (0.7206, 0.7206, 0.0000)
Ge (0.7794, 0.2206, 0.5000)

Values from the calculation:
formation energy from the elements: -0.0180 eV/atom
crystal system: tetragonal

***

[4]
KInGe2 | PBE-GGA | optimized geometry

Cell: 10.3987 10.3987 10.3987 Å, 150.52 150.52 42.18°
Sites, in units of the cell vectors:
K (0.3750, 0.6250, 0.7500)
K (0.6250, 0.3750, 0.2500)
In (0.1250, 0.8750, 0.2500)
In (0.8750, 0.1250, 0.7500)
Ge (0.0000, 0.0000, 0.0000)
Ge (0.0000, 0.0000, 0.5000)
Ge (0.0000, 0.5000, 0.0000)
Ge (0.5000, 0.0000, 0.5000)

Values from the calculation:
formation energy from the elements: 0.1477 eV/atom
crystal system: tetragonal

***

[5]
K2In7Ge | PBE-GGA | optimized geometry

Cell: 4.8950 4.8950 12.7125 Å, 90.00 90.00 90.00°
Sites, in units of the cell vectors:
K (0.0000, 0.5000, 0.2429)
K (0.5000, 0.0000, 0.7571)
In (0.0000, 0.0000, 0.0000)
In (0.0000, 0.0000, 0.5000)
In (0.0000, 0.5000, 0.6412)
In (0.0000, 0.5000, 0.8693)
In (0.5000, 0.0000, 0.1307)
In (0.5000, 0.0000, 0.3588)
In (0.5000, 0.5000, 0.5000)
Ge (0.5000, 0.5000, 0.0000)

Values from the calculation:
formation energy from the elements: -0.1020 eV/atom
crystal system: tetragonal

***

[6]
KIn2Ge | PBE-GGA | optimized geometry

Cell: 7.0253 7.0253 7.0253 Å, 102.31 102.31 125.01°
Sites, in units of the cell vectors:
K (0.0000, 0.0000, 0.0000)
K (0.7500, 0.2500, 0.5000)
In (0.1993, 0.6250, 0.0743)
In (0.3750, 0.4493, 0.5743)
In (0.5507, 0.1250, 0.9257)
In (0.8750, 0.8007, 0.4257)
Ge (0.2500, 0.7500, 0.5000)
Ge (0.5000, 0.5000, 0.0000)

Values from the calculation:
formation energy from the elements: 0.0561 eV/atom
crystal system: tetragonal

***

[7]
KIn2Ge | PBE-GGA | optimized geometry

Cell: 4.7457 4.7457 10.6997 Å, 90.00 90.00 90.00°
Sites, in units of the cell vectors:
K (0.2500, 0.2500, 0.2454)
K (0.7500, 0.7500, 0.7546)
In (0.2500, 0.2500, 0.9331)
In (0.2500, 0.7500, 0.5000)
In (0.7500, 0.2500, 0.5000)
In (0.7500, 0.7500, 0.0669)
Ge (0.2500, 0.2500, 0.6570)
Ge (0.7500, 0.7500, 0.3430)

Values from the calculation:
formation energy from the elements: -0.0500 eV/atom
crystal system: tetragonal

***

[8]
K2InGe2 | PBE-GGA | optimized geometry

Cell: 7.2976 7.2976 5.6620 Å, 90.00 90.00 90.00°
Sites, in units of the cell vectors:
K (0.1813, 0.3187, 0.0000)
K (0.3187, 0.8187, 0.0000)
K (0.6813, 0.1813, 0.0000)
K (0.8187, 0.6813, 0.0000)
In (0.0000, 0.0000, 0.5000)
In (0.5000, 0.5000, 0.5000)
Ge (0.1198, 0.6198, 0.5000)
Ge (0.3802, 0.1198, 0.5000)
Ge (0.6198, 0.8802, 0.5000)
Ge (0.8802, 0.3802, 0.5000)

Values from the calculation:
formation energy from the elements: -0.0298 eV/atom
crystal system: tetragonal
relative energy among the computed polymorphs: 0.00 eV per formula unit

***

[9]
KIn2Ge2 | PBE-GGA | optimized geometry

Cell: 8.7476 8.7476 3.4271 Å, 90.00 90.00 90.00°
Sites, in units of the cell vectors:
K (0.0000, 0.0000, 0.0000)
K (0.5000, 0.5000, 0.0000)
In (0.1450, 0.3550, 0.5000)
In (0.3550, 0.8550, 0.5000)
In (0.6450, 0.1450, 0.5000)
In (0.8550, 0.6450, 0.5000)
Ge (0.1399, 0.6399, 0.0000)
Ge (0.3601, 0.1399, 0.0000)
Ge (0.6399, 0.8601, 0.0000)
Ge (0.8601, 0.3601, 0.0000)

Values from the calculation:
formation energy from the elements: 0.0631 eV/atom
crystal system: tetragonal
relative energy among the computed polymorphs: 0.74 eV per formula unit

***

[10]
KIn2Ge2 | PBE-GGA | optimized geometry

Cell: 4.9432 4.9432 11.2055 Å, 90.00 90.00 90.00°
Sites, in units of the cell vectors:
K (0.2500, 0.2500, 0.2435)
K (0.7500, 0.7500, 0.7565)
In (0.2500, 0.2500, 0.8734)
In (0.2500, 0.7500, 0.5000)
In (0.7500, 0.2500, 0.5000)
In (0.7500, 0.7500, 0.1266)
Ge (0.2500, 0.2500, 0.6290)
Ge (0.2500, 0.7500, 0.0000)
Ge (0.7500, 0.2500, 0.0000)
Ge (0.7500, 0.7500, 0.3710)

Values from the calculation:
formation energy from the elements: -0.0841 eV/atom
crystal system: tetragonal
relative energy among the computed polymorphs: 0.00 eV per formula unit

***

[11]
K2InGe2 | PBE-GGA | optimized geometry

Cell: 8.7186 8.7186 6.0585 Å, 90.00 90.00 132.63°
Sites, in units of the cell vectors:
K (0.0728, 0.9272, 0.7500)
K (0.2848, 0.7152, 0.2500)
K (0.7152, 0.2848, 0.7500)
K (0.9272, 0.0728, 0.2500)
In (0.5000, 0.5000, 0.0000)
In (0.5000, 0.5000, 0.5000)
Ge (0.1912, 0.4346, 0.7500)
Ge (0.4346, 0.1912, 0.2500)
Ge (0.5654, 0.8088, 0.7500)
Ge (0.8088, 0.5654, 0.2500)

Values from the calculation:
formation energy from the elements: -0.0239 eV/atom
crystal system: orthorhombic
relative energy among the computed polymorphs: 0.03 eV per formula unit

***

[12]
K3In5Ge2 | PBE-GGA | optimized geometry

Cell: 10.1567 10.1567 10.1567 Å, 111.87 84.16 136.82°
Sites, in units of the cell vectors:
K (0.1335, 0.7455, 0.8791)
K (0.2500, 0.2500, 0.0000)
K (0.3665, 0.2455, 0.6120)
K (0.6335, 0.7545, 0.3880)
K (0.7500, 0.7500, 0.0000)
K (0.8665, 0.2545, 0.1209)
In (0.0059, 0.7500, 0.2559)
In (0.1220, 0.3545, 0.4765)
In (0.2500, 0.7500, 0.5000)
In (0.3780, 0.8545, 0.2325)
In (0.4941, 0.7500, 0.7441)
In (0.5059, 0.2500, 0.2559)
In (0.6220, 0.1455, 0.7675)
In (0.7500, 0.2500, 0.5000)
In (0.8780, 0.6455, 0.5235)
In (0.9941, 0.2500, 0.7441)
Ge (0.1571, 0.1207, 0.2778)
Ge (0.3429, 0.6207, 0.9637)
Ge (0.6571, 0.3793, 0.0363)
Ge (0.8429, 0.8793, 0.7222)

Values from the calculation:
formation energy from the elements: -0.0889 eV/atom
crystal system: orthorhombic

***

[13]
KIn2Ge | PBE-GGA | optimized geometry

Cell: 7.8551 7.8551 7.8551 Å, 33.58 33.58 33.58°
Sites, in units of the cell vectors:
K (0.0000, 0.0000, 0.0000)
In (0.2211, 0.2211, 0.2211)
In (0.7789, 0.7789, 0.7789)
Ge (0.5000, 0.5000, 0.5000)

Values from the calculation:
formation energy from the elements: -0.0265 eV/atom
crystal system: trigonal

***

[14]
KIn2Ge2 | PBE-GGA | optimized geometry

Cell: 6.5406 6.5406 6.5406 Å, 135.09 135.09 65.39°
Sites, in units of the cell vectors:
K (0.0000, 0.0000, 0.0000)
In (0.2500, 0.7500, 0.5000)
In (0.7500, 0.2500, 0.5000)
Ge (0.3814, 0.3814, 0.0000)
Ge (0.6186, 0.6186, 0.0000)

Values from the calculation:
formation energy from the elements: -0.0757 eV/atom
crystal system: tetragonal
relative energy among the computed polymorphs: 0.04 eV per formula unit

***

[15]
KLi2InGe | PBE-GGA | optimized geometry

Cell: 5.1377 5.1377 5.5296 Å, 90.00 90.00 90.00°
Sites, in units of the cell vectors:
K (0.0000, 0.0000, 0.0000)
Li (0.0000, 0.5000, 0.5000)
Li (0.5000, 0.0000, 0.5000)
In (0.5000, 0.5000, 0.0000)
Ge (0.5000, 0.5000, 0.5000)

Values from the calculation:
formation energy from the elements: -0.1048 eV/atom
crystal system: tetragonal

***

[16]
KMnInGe2 | PBE-GGA | optimized geometry

Cell: 4.7082 4.7082 5.0855 Å, 90.00 90.00 90.00°
Sites, in units of the cell vectors:
K (0.0000, 0.0000, 0.0000)
Mn (0.5000, 0.5000, 0.5000)
In (0.5000, 0.5000, 0.0000)
Ge (0.0000, 0.5000, 0.5000)
Ge (0.5000, 0.0000, 0.5000)

Values from the calculation:
formation energy from the elements: 0.0459 eV/atom
crystal system: tetragonal

***

[17]
KMnIn2Ge | PBE-GGA | optimized geometry

Cell: 5.1217 5.1217 4.6643 Å, 90.00 90.00 90.00°
Sites, in units of the cell vectors:
K (0.0000, 0.0000, 0.0000)
Mn (0.5000, 0.5000, 0.5000)
In (0.0000, 0.5000, 0.5000)
In (0.5000, 0.0000, 0.5000)
Ge (0.5000, 0.5000, 0.0000)

Values from the calculation:
formation energy from the elements: -0.0060 eV/atom
crystal system: tetragonal

***

[18]
KInGeN2 | PBE-GGA | optimized geometry

Cell: 4.1942 4.1942 5.5133 Å, 90.00 90.00 90.00°
Sites, in units of the cell vectors:
K (0.0000, 0.0000, 0.0000)
In (0.5000, 0.5000, 0.0000)
Ge (0.0000, 0.0000, 0.5000)
N (0.0000, 0.5000, 0.5000)
N (0.5000, 0.0000, 0.5000)

Values from the calculation:
E_form (uncorrected): 1.41 eV/atom
crystal system: tetragonal

***

[19]
K2NaIn4Ge3 | PBE-GGA | optimized geometry

Cell: 4.8977 4.8977 11.9864 Å, 90.00 90.00 90.00°
Sites, in units of the cell vectors:
K (0.0000, 0.5000, 0.2405)
K (0.5000, 0.0000, 0.7595)
Na (0.0000, 0.0000, 0.5000)
In (0.0000, 0.0000, 0.0000)
In (0.0000, 0.5000, 0.6419)
In (0.5000, 0.0000, 0.3581)
In (0.5000, 0.5000, 0.0000)
Ge (0.0000, 0.5000, 0.8726)
Ge (0.5000, 0.0000, 0.1274)
Ge (0.5000, 0.5000, 0.5000)

Values from the calculation:
formation energy from the elements: -0.0546 eV/atom
crystal system: tetragonal

***

[20]
KNaInGe | PBE-GGA | optimized geometry

Cell: 5.3711 5.3711 5.3711 Å, 60.00 60.00 60.00°
Sites, in units of the cell vectors:
K (0.0000, 0.0000, 0.0000)
Na (0.7500, 0.7500, 0.7500)
In (0.5000, 0.5000, 0.5000)
Ge (0.2500, 0.2500, 0.2500)

Values from the calculation:
formation energy from the elements: 0.0309 eV/atom
crystal system: cubic